Here is a geometry-optimized Ca2AgMo structure from Alexandria. Energies are from PBE.

extended XYZ file:
```
4
Lattice="3.811 -2.877 2.102 2.164 1.440 4.524 -0.908 -2.772 4.326" Properties=species:S:1:pos:R:3 pbc="T T T"
Mo 0.000 0.000 0.000
Ca 1.267 -1.052 2.738
Ca 3.800 -3.157 8.214
Ag 2.533 -2.105 5.476
```

Its crystal system is cubic. For the energy above the most stable polymorph in this dataset, the calculation gives 0.526 eV per formula unit. The calculation puts the density of states at the Fermi level at 1.88 states/eV/cell. The formation energy from the elements comes out at 0.55 eV per atom. The uncorrected energy comes out at -15.479 eV/cell.

Here is a geometry-optimized Dy3BiSbN structure from Alexandria. Energies are from PBE.

extended XYZ file:
```
12
Lattice="-2.875 2.692 1.483 -4.610 -7.003 3.773 5.417 1.756 7.311" Properties=species:S:1:pos:R:3 pbc="T T T"
Dy -1.959 -4.456 7.274
Dy -5.237 -3.823 5.742
Dy -3.209 -0.458 3.567
Dy -0.109 1.902 5.294
Dy 1.141 -2.096 9.000
Dy 3.169 1.268 6.825
Bi -1.706 -2.505 10.194
Bi -0.362 -0.050 2.373
Sb -2.572 -3.400 4.169
Sb 0.504 0.845 8.399
N 2.051 1.075 5.010
N -4.119 -3.629 7.557
```

The formation energy (no corrections) is -1.094 eV/atom. Its crystal system is monoclinic. The calculation puts the density of states at the Fermi level at 1.20 states/eV/cell. The uncorrected energy comes out at -73.403 eV/cell.

Here is a geometry-optimized Er8NiRu5 structure from Alexandria. Energies are from PBE.

extended XYZ file:
```
14
Lattice="-1.525 -3.752 6.088 4.468 -3.931 -4.249 3.245 6.300 1.803" Properties=species:S:1:pos:R:3 pbc="T T T"
Er 3.224 -3.389 -2.292
Er 1.451 0.470 6.760
Er 1.088 -1.537 4.125
Er 3.662 1.641 3.895
Er 2.783 -2.643 0.926
Er 5.752 -0.349 1.542
Er 1.948 0.501 1.275
Er 4.843 -0.226 -1.661
Ni 4.286 1.821 0.750
Ru 2.140 -0.701 -1.196
Ru 3.417 -5.178 1.884
Ru 3.686 -1.218 3.178
Ru 0.860 1.274 3.946
Ru 3.132 4.331 3.420
```

Its crystal system is tetragonal. The calculation puts the density of states at the Fermi level at 7.68 states/eV/cell. The formation energy from the elements comes out at -0.26 eV per atom. The uncorrected energy comes out at -92.339 eV/cell.

Here is a geometry-optimized La2ZnCuSe5 structure from Alexandria. Energies are from PBE.

extended XYZ file:
```
18
Lattice="4.171 0.000 0.000 -2.086 8.564 0.000 0.000 0.000 12.531" Properties=species:S:1:pos:R:3 pbc="T T T"
La 2.086 6.224 10.212
La 0.000 1.878 8.539
La 0.000 2.341 3.947
La 2.086 6.686 2.274
Zn 2.086 1.203 11.821
Zn 0.000 7.361 5.556
Cu 2.086 5.070 7.096
Cu 0.000 3.494 0.831
Se 0.000 5.885 0.017
Se 2.086 3.184 10.349
Se 0.000 8.391 9.738
Se 0.000 4.914 8.332
Se 2.086 7.556 6.874
Se 2.086 2.679 6.282
Se 0.000 5.381 4.084
Se 2.086 0.174 3.473
Se 2.086 3.650 2.067
Se 0.000 1.008 0.609
```

The formation energy (no corrections) is -1.235 eV/atom. Its crystal system is orthorhombic. The calculation puts the density of states at the Fermi level at 11.15 states/eV/cell. The uncorrected energy comes out at -87.523 eV/cell.

Here is a geometry-optimized AcLa2Tc2N6 structure from Alexandria. Energies are from PBE.

extended XYZ file:
```
11
Lattice="-0.316 4.857 3.292 -4.241 0.547 4.029 2.329 -0.947 6.864" Properties=species:S:1:pos:R:3 pbc="T T T"
Ac 0.000 0.000 0.000
La -2.192 3.715 10.040
La -0.036 0.742 4.146
Tc -0.080 1.490 8.282
Tc -2.149 2.968 5.904
N -2.628 3.675 7.485
N -2.467 1.201 5.808
N -0.467 3.396 5.432
N -1.761 1.061 8.753
N 0.239 3.257 8.378
N 0.400 0.782 6.701
```

The formation energy (no corrections) is -0.638 eV/atom. Its crystal system is trigonal. The calculation puts the density of states at the Fermi level at 5.28 states/eV/cell. The uncorrected energy comes out at -91.664 eV/cell.

Here is a geometry-optimized CaRuW4 structure from Alexandria. Energies are from PBE.

extended XYZ file:
```
6
Lattice="0.000 3.785 3.785 3.785 0.000 3.785 3.785 3.785 0.000" Properties=species:S:1:pos:R:3 pbc="T T T"
Ca 5.678 5.678 5.678
Ru 0.000 0.000 0.000
W 2.844 4.727 4.727
W 4.727 4.727 2.844
W 4.727 2.844 4.727
W 2.844 2.844 2.844
```

Its crystal system is cubic. The calculation puts the density of states at the Fermi level at 6.18 states/eV/cell. The formation energy from the elements comes out at 0.57 eV per atom. The uncorrected energy comes out at -59.681 eV/cell.

Here is a geometry-optimized La6Pm8Y structure from Alexandria. Energies are from PBE.

extended XYZ file:
```
15
Lattice="-5.548 -5.932 4.603 3.448 -5.157 6.978 -2.361 1.439 8.476" Properties=species:S:1:pos:R:3 pbc="T T T"
La -1.507 -6.173 15.813
La -0.018 -1.600 3.213
La 0.216 -3.983 5.947
La -4.678 -5.668 14.109
La -4.444 -8.050 16.844
La -2.955 -3.477 4.244
Pm -1.711 -2.092 8.072
Pm -4.530 -4.195 7.602
Pm 0.997 -3.988 9.361
Pm -1.846 -6.017 8.957
Pm -2.617 -3.634 11.100
Pm -5.460 -5.663 10.696
Pm 0.068 -5.456 12.455
Pm -2.751 -7.559 11.985
Y 0.000 0.000 0.000
```

Its crystal system is trigonal. The calculation puts the density of states at the Fermi level at 24.64 states/eV/cell. The formation energy from the elements comes out at 0.10 eV per atom. The uncorrected energy comes out at -72.488 eV/cell.

Here is a geometry-optimized NdMgScAu structure from Alexandria. Energies are from PBE.

extended XYZ file:
```
4
Lattice="5.147 0.000 0.000 2.573 4.457 0.000 2.573 1.486 4.202" Properties=species:S:1:pos:R:3 pbc="T T T"
Sc 0.000 0.000 0.000
Nd 5.147 2.972 2.101
Mg 7.720 4.457 3.152
Au 2.573 1.486 1.051
```

Its crystal system is cubic. The calculation puts the density of states at the Fermi level at 4.05 states/eV/cell. The formation energy from the elements comes out at -0.35 eV per atom. The uncorrected energy comes out at -17.358 eV/cell.